{"formula": "LaMnRe", "functional": "PBE", "state": "optimized geometry", "sg": "P3m1", "de_polymorph_ev_per_atom": 0.0000, "magnetic_moment_mub_per_fu": 0.00, "cell": [[3.989, 0.000, 0.000], [-1.995, 3.455, 0.000], [0.000, 0.000, 4.728]], "species": ["La", "Mn", "Re"], "frac_coords": [[0.000, 0.000, 0.000], [0.667, 0.333, 0.529], [0.333, 0.667, 0.476]]}